Below is a PBEsol-optimized structure of HfZrIn2, with properties calculated at the meta-GGA SCAN level.

Cell and atoms, written as CIF:
```
data_HfZrIn2
_chemical_formula_sum 'Hf4 Zr4 In8'
_symmetry_space_group_name_H-M 'F m -3 m'
_symmetry_Int_Tables_number 225
_symmetry_space_group_name_Hall '-F 4 2 3'
_cell_length_a 6.965
_cell_length_b 6.965
_cell_length_c 6.965
_cell_angle_alpha 90.00
_cell_angle_beta 90.00
_cell_angle_gamma 90.00
loop_
_atom_site_label
_atom_site_fract_x
_atom_site_fract_y
_atom_site_fract_z
_atom_site_occupancy
Hf1 0.000 0.000 0.000 1
Zr1 0.000 0.000 0.500 1
In1 0.250 0.250 0.250 1
```

Computed properties:
- Total DFT energy (no corrections): -40.206 eV per atom
- D(E_F): 1.161 states/eV/atom
- Magnetic moment: 0.00 μB per formula unit



Below is a PBEsol-optimized structure of HfZr3In, with properties calculated at the meta-GGA SCAN level.

Cell and atoms, written as CIF:
```
data_HfZr3In
_chemical_formula_sum 'Hf1 Zr3 In1'
_symmetry_space_group_name_H-M 'P m -3 m'
_symmetry_Int_Tables_number 221
_symmetry_space_group_name_Hall '-P 4 2 3'
_cell_length_a 5.176
_cell_length_b 5.176
_cell_length_c 5.176
_cell_angle_alpha 90.00
_cell_angle_beta 90.00
_cell_angle_gamma 90.00
loop_
_atom_site_label
_atom_site_fract_x
_atom_site_fract_y
_atom_site_fract_z
_atom_site_occupancy
Hf1 0.000 0.000 0.000 1
Zr1 0.000 0.500 0.500 1
In1 0.500 0.500 0.500 1
```

Computed properties:
- Total DFT energy (no corrections): -36.569 eV per atom
- D(E_F): 1.394 states/eV/atom
- Magnetic moment: 2.70 μB per formula unit



Below is a PBEsol-optimized structure of Hf5Ir3, with properties calculated at the meta-GGA SCAN level.

Cell and atoms, written as CIF:
```
data_Hf5Ir3
_chemical_formula_sum 'Hf10 Ir6'
_symmetry_space_group_name_H-M 'P 63/m c m'
_symmetry_Int_Tables_number 193
_symmetry_space_group_name_Hall '-P 6c 2'
_cell_length_a 7.8869
_cell_length_b 7.8869
_cell_length_c 5.4217
_cell_angle_alpha 90.00
_cell_angle_beta 90.00
_cell_angle_gamma 120.00
loop_
_atom_site_label
_atom_site_fract_x
_atom_site_fract_y
_atom_site_fract_z
_atom_site_occupancy
Hf1 0.0000 0.2408 0.2500 1
Hf2 0.3333 0.6667 0.0000 1
Ir1 0.0000 0.3990 0.7500 1
```

Computed properties:
- Distance to the lowest polymorph of the same formula: 0.007 eV per atom
- Total DFT energy (no corrections): -66.842 eV per atom
- D(E_F): 0.832 states/eV/atom
- Magnetic moment: 0.00 μB per formula unit



Below is a PBEsol-optimized structure of Hf5Ir3, with properties calculated at the meta-GGA SCAN level.

Cell and atoms, written as CIF:
```
data_Hf5Ir3
_chemical_formula_sum 'Hf30 Ir18'
_symmetry_space_group_name_H-M 'P 61 2 2'
_symmetry_Int_Tables_number 178
_symmetry_space_group_name_Hall 'P 61 2 (0 0 5)'
_cell_length_a 7.8115
_cell_length_b 7.8115
_cell_length_c 16.7562
_cell_angle_alpha 90.00
_cell_angle_beta 90.00
_cell_angle_gamma 120.00
loop_
_atom_site_label
_atom_site_fract_x
_atom_site_fract_y
_atom_site_fract_z
_atom_site_occupancy
Hf1 0.0000 0.2483 0.3333 1
Hf2 0.0101 0.2371 0.9929 1
Hf3 0.2419 0.6209 0.5833 1
Hf4 0.3125 0.6562 0.0833 1
Ir1 0.0000 0.3809 0.8333 1
Ir2 0.0268 0.4188 0.1906 1
```

Computed properties:
- Distance to the lowest polymorph of the same formula: 0.000 eV per atom
- Total DFT energy (no corrections): -66.850 eV per atom
- D(E_F): 0.713 states/eV/atom
- Magnetic moment: 0.00 μB per formula unit